(1)
Compound: Li2V2Bi
Source: the Alexandria database
Functional: PBE
Structure: relaxed

Values from the calculation:
Its formation energy is 33.3 kJ per mole of atoms. As for the space-group type: I4/mmm. The volume is 204.6 Å³ per cell. The value obtained for the energy above the most stable polymorph in this dataset is 0.000 eV per atom.

Structure (POSCAR):
```
Li2V2Bi
1.0
3.254 0.000 0.000
0.000 3.254 0.000
0.000 0.000 19.324
Li V Bi
4 4 2
direct
0.000 0.000 0.116 Li
0.000 0.000 0.884 Li
0.500 0.500 0.384 Li
0.500 0.500 0.616 Li
0.000 0.500 0.250 V
0.000 0.500 0.750 V
0.500 0.000 0.250 V
0.500 0.000 0.750 V
0.000 0.000 0.500 Bi
0.500 0.500 0.000 Bi
```

***

(2)
Compound: LiFe
Source: the Alexandria database
Functional: PBE
Structure: relaxed

Values from the calculation:
Its formation energy is 136.6 kJ per mole of atoms. As for the space-group type: P6_3/mmc. The volume is 76.2 Å³ per cell.

Structure (POSCAR):
```
LiFe
1.0
4.263 0.000 0.000
-2.131 3.692 0.000
0.000 0.000 4.843
Li Fe
2 2
direct
0.333 0.667 0.250 Li
0.667 0.333 0.750 Li
0.333 0.667 0.750 Fe
0.667 0.333 0.250 Fe
```